NiAsRu3 after structural relaxation, computed with PBE-GGA.

Calculated values
- energy of formation (eV/f.u.) = 7.27
- relative energy among the computed polymorphs (eV per formula unit) = 0.94
- total energy (eV/cell) = -30.99
- total moment (μB per formula unit) = 3.483

a = 4.441 Å, b = 4.441 Å, c = 4.441 Å
α = 90.00°, β = 90.00°, γ = 90.00°
Space group Pm-3m (No. 221)
One atom of each set of equivalent atoms:
Ni 0.000 0.000 0.000 (multiplicity 1)
As 0.500 0.500 0.500 (multiplicity 1)
Ru 0.000 0.000 0.500 (multiplicity 3)

Ni3AsRu after structural relaxation, computed with PBE-GGA.

Calculated values
- energy of formation (eV/f.u.) = 6.59
- relative energy among the computed polymorphs (eV per formula unit) = 2.50
- total energy (eV/cell) = -24.68
- total moment (μB per formula unit) = 0.000

a = 4.460 Å, b = 4.460 Å, c = 4.460 Å
α = 90.00°, β = 90.00°, γ = 90.00°
Space group Pm-3m (No. 221)
One atom of each set of equivalent atoms:
Ni 0.000 0.000 0.500 (multiplicity 3)
As 0.500 0.500 0.500 (multiplicity 1)
Ru 0.000 0.000 0.000 (multiplicity 1)

Ni2AsRu after structural relaxation, computed with PBE-GGA.

Calculated values
- energy of formation (eV/f.u.) = 1.14
- total energy (eV/cell) = -97.40
- total moment (μB per formula unit) = 0.000

a = 3.551 Å, b = 3.551 Å, c = 17.476 Å
α = 90.00°, β = 90.00°, γ = 90.00°
Space group I-42d (No. 122)
One atom of each set of equivalent atoms:
Ni 0.246 0.250 0.125 (multiplicity 8)
As 0.000 0.000 0.000 (multiplicity 4)
Ru 0.000 0.000 0.500 (multiplicity 4)

What did the second record say?
Ni3AsRu after structural relaxation, computed with PBE-GGA.

Calculated values
- energy of formation (eV/f.u.) = 6.59
- relative energy among the computed polymorphs (eV per formula unit) = 2.50
- total energy (eV/cell) = -24.68
- total moment (μB per formula unit) = 0.000

a = 4.460 Å, b = 4.460 Å, c = 4.460 Å
α = 90.00°, β = 90.00°, γ = 90.00°
Space group Pm-3m (No. 221)
One atom of each set of equivalent atoms:
Ni 0.000 0.000 0.500 (multiplicity 3)
As 0.500 0.500 0.500 (multiplicity 1)
Ru 0.000 0.000 0.000 (multiplicity 1)

Which formula does entry 1 have?
NiAsRu3